[1]
# PBE Ho2ThGa, relaxed
# Space-group type: R3m (160)
# Crystal system: trigonal
# Final energy (eV/atom): -5.07
# DOS(E_F) (states/eV/atom): 1.312
# Formation energy (meV per atom): -168
# Energy above the most stable polymorph in this dataset (eV/atom): 0.114
data_Ho2ThGa
_chemical_formula_sum 'Ho2 Th1 Ga1'
_cell_length_a 3.564
_cell_length_b 3.564
_cell_length_c 10.500
_cell_angle_alpha 80.23
_cell_angle_beta 80.23
_cell_angle_gamma 60.00
_symmetry_space_group_name_H-M 'P 1'
_symmetry_Int_Tables_number 1
loop_
_symmetry_equiv_pos_as_xyz
'x,y,z'
loop_
_atom_site_label
_atom_site_type_symbol
_atom_site_fract_x
_atom_site_fract_y
_atom_site_fract_z
_atom_site_occupancy
Ho1 Ho 0.071 0.071 0.787 1
Ho2 Ho 0.263 0.263 0.212 1
Th1 Th 0.500 0.500 0.499 1
Ga1 Ga 0.666 0.666 0.001 1


[2]
# PBE HoThGa2, relaxed
# Space-group type: Pm (6)
# Crystal system: monoclinic
# Final energy (eV/atom): -5.08
# DOS(E_F) (states/eV/atom): 0.875
# Formation energy (meV per atom): -568
# Energy above the most stable polymorph in this dataset (eV/atom): 0.000
data_HoThGa2
_chemical_formula_sum 'Ho1 Th1 Ga2'
_cell_length_a 4.393
_cell_length_b 4.095
_cell_length_c 5.940
_cell_angle_alpha 90.00
_cell_angle_beta 111.61
_cell_angle_gamma 90.00
_symmetry_space_group_name_H-M 'P 1'
_symmetry_Int_Tables_number 1
loop_
_symmetry_equiv_pos_as_xyz
'x,y,z'
loop_
_atom_site_label
_atom_site_type_symbol
_atom_site_fract_x
_atom_site_fract_y
_atom_site_fract_z
_atom_site_occupancy
Ho1 Ho 0.444 0.500 0.427 1
Th1 Th 0.725 0.000 0.990 1
Ga1 Ga 0.155 0.500 0.850 1
Ga2 Ga 0.007 0.000 0.551 1


[3]
# PBE HoThGa, relaxed
# Space-group type: I4/mmm (139)
# Crystal system: tetragonal
# Final energy (eV/atom): -4.85
# DOS(E_F) (states/eV/atom): 1.338
# Formation energy (meV per atom): 163
# Energy above the most stable polymorph in this dataset (eV/atom): 0.440
data_HoThGa
_chemical_formula_sum 'Ho2 Th2 Ga2'
_cell_length_a 4.145
_cell_length_b 4.145
_cell_length_c 11.895
_cell_angle_alpha 100.03
_cell_angle_beta 100.03
_cell_angle_gamma 90.00
_symmetry_space_group_name_H-M 'P 1'
_symmetry_Int_Tables_number 1
loop_
_symmetry_equiv_pos_as_xyz
'x,y,z'
loop_
_atom_site_label
_atom_site_type_symbol
_atom_site_fract_x
_atom_site_fract_y
_atom_site_fract_z
_atom_site_occupancy
Ho1 Ho 0.079 0.079 0.157 1
Ho2 Ho 0.921 0.921 0.843 1
Th1 Th 0.668 0.668 0.335 1
Th2 Th 0.332 0.332 0.665 1
Ga1 Ga 0.796 0.796 0.591 1
Ga2 Ga 0.204 0.204 0.409 1


[4]
# PBE Ho2ThGa, relaxed
# Space-group type: P4/mmm (123)
# Crystal system: tetragonal
# Final energy (eV/atom): -5.18
# DOS(E_F) (states/eV/atom): 0.952
# Formation energy (meV per atom): -282
# Energy above the most stable polymorph in this dataset (eV/atom): 0.000
data_Ho2ThGa
_chemical_formula_sum 'Ho2 Th1 Ga1'
_cell_length_a 3.517
_cell_length_b 3.517
_cell_length_c 8.713
_cell_angle_alpha 90.00
_cell_angle_beta 90.00
_cell_angle_gamma 90.00
_symmetry_space_group_name_H-M 'P 1'
_symmetry_Int_Tables_number 1
loop_
_symmetry_equiv_pos_as_xyz
'x,y,z'
loop_
_atom_site_label
_atom_site_type_symbol
_atom_site_fract_x
_atom_site_fract_y
_atom_site_fract_z
_atom_site_occupancy
Ga1 Ga 0.500 0.500 0.000 1
Ho1 Ho 0.000 0.000 0.787 1
Ho2 Ho 0.000 0.000 0.213 1
Th1 Th 0.500 0.500 0.500 1


[5]
# PBE HoTh2Ga2, relaxed
# Space-group type: P4/mbm (127)
# Crystal system: tetragonal
# Final energy (eV/atom): -5.56
# DOS(E_F) (states/eV/atom): 0.899
# Formation energy (meV per atom): -466
data_HoTh2Ga2
_chemical_formula_sum 'Ho2 Th4 Ga4'
_cell_length_a 4.403
_cell_length_b 7.780
_cell_length_c 7.780
_cell_angle_alpha 90.00
_cell_angle_beta 90.00
_cell_angle_gamma 90.00
_symmetry_space_group_name_H-M 'P 1'
_symmetry_Int_Tables_number 1
loop_
_symmetry_equiv_pos_as_xyz
'x,y,z'
loop_
_atom_site_label
_atom_site_type_symbol
_atom_site_fract_x
_atom_site_fract_y
_atom_site_fract_z
_atom_site_occupancy
Ho1 Ho 0.000 0.000 0.000 1
Ho2 Ho 0.000 0.500 0.500 1
Th1 Th 0.500 0.174 0.674 1
Th2 Th 0.500 0.674 0.826 1
Th3 Th 0.500 0.826 0.326 1
Th4 Th 0.500 0.326 0.174 1
Ga1 Ga 0.000 0.378 0.878 1
Ga2 Ga 0.000 0.878 0.622 1
Ga3 Ga 0.000 0.622 0.122 1
Ga4 Ga 0.000 0.122 0.378 1


[6]
# PBE Ho2ThGa6, relaxed
# Space-group type: Immm (71)
# Crystal system: orthorhombic
# Final energy (eV/atom): -4.28
# DOS(E_F) (states/eV/atom): 0.820
# Formation energy (meV per atom): -420
# Energy above the most stable polymorph in this dataset (eV/atom): 0.202
data_Ho2ThGa6
_chemical_formula_sum 'Ho2 Th1 Ga6'
_cell_length_a 4.280
_cell_length_b 7.090
_cell_length_c 7.851
_cell_angle_alpha 116.84
_cell_angle_beta 105.82
_cell_angle_gamma 90.00
_symmetry_space_group_name_H-M 'P 1'
_symmetry_Int_Tables_number 1
loop_
_symmetry_equiv_pos_as_xyz
'x,y,z'
loop_
_atom_site_label
_atom_site_type_symbol
_atom_site_fract_x
_atom_site_fract_y
_atom_site_fract_z
_atom_site_occupancy
Ho1 Ho 0.872 0.872 0.744 1
Ho2 Ho 0.128 0.128 0.256 1
Th1 Th 0.000 0.500 0.000 1
Ga1 Ga 0.681 0.872 0.362 1
Ga2 Ga 0.319 0.128 0.638 1
Ga3 Ga 0.319 0.510 0.638 1
Ga4 Ga 0.500 0.182 0.000 1
Ga5 Ga 0.500 0.818 0.000 1
Ga6 Ga 0.681 0.490 0.362 1


[7]
# PBE Ho12Th5Ga3, relaxed
# Space-group type: Ia-3d (230)
# Crystal system: cubic
# Final energy (eV/atom): -4.13
# DOS(E_F) (states/eV/atom): 1.684
# Formation energy (meV per atom): 930
data_Ho12Th5Ga3
_chemical_formula_sum 'Ho48 Th20 Ga12'
_cell_length_a 15.456
_cell_length_b 15.456
_cell_length_c 15.456
_cell_angle_alpha 109.47
_cell_angle_beta 109.47
_cell_angle_gamma 109.47
_symmetry_space_group_name_H-M 'P 1'
_symmetry_Int_Tables_number 1
loop_
_symmetry_equiv_pos_as_xyz
'x,y,z'
loop_
_atom_site_label
_atom_site_type_symbol
_atom_site_fract_x
_atom_site_fract_y
_atom_site_fract_z
_atom_site_occupancy
Ga1 Ga 0.750 0.375 0.125 1
Ga2 Ga 0.875 0.750 0.125 1
Ga3 Ga 0.375 0.750 0.625 1
Ga4 Ga 0.250 0.125 0.375 1
Ga5 Ga 0.875 0.125 0.250 1
Ga6 Ga 0.375 0.625 0.250 1
Ga7 Ga 0.625 0.375 0.750 1
Ga8 Ga 0.125 0.875 0.750 1
Ga9 Ga 0.750 0.875 0.625 1
Ga10 Ga 0.625 0.250 0.375 1
Ga11 Ga 0.125 0.250 0.875 1
Ga12 Ga 0.250 0.625 0.875 1
Th1 Th 0.125 0.375 0.250 1
Th2 Th 0.000 0.500 0.000 1
Th3 Th 0.000 0.000 0.000 1
Th4 Th 0.375 0.250 0.125 1
Th5 Th 0.500 0.000 0.500 1
Th6 Th 0.500 0.500 0.000 1
Th7 Th 0.125 0.750 0.375 1
Th8 Th 0.750 0.125 0.875 1
Th9 Th 0.750 0.625 0.375 1
Th10 Th 0.375 0.125 0.750 1
Th11 Th 0.625 0.875 0.250 1
Th12 Th 0.500 0.500 0.500 1
Th13 Th 0.500 0.000 0.000 1
Th14 Th 0.000 0.000 0.500 1
Th15 Th 0.250 0.375 0.625 1
Th16 Th 0.250 0.875 0.125 1
Th17 Th 0.000 0.500 0.500 1
Th18 Th 0.875 0.250 0.625 1
Th19 Th 0.625 0.750 0.875 1
Th20 Th 0.875 0.625 0.750 1
Ho1 Ho 0.739 0.142 0.079 1
Ho2 Ho 0.341 0.579 0.437 1
Ho3 Ho 0.921 0.358 0.261 1
Ho4 Ho 0.579 0.239 0.142 1
Ho5 Ho 0.596 0.739 0.659 1
Ho6 Ho 0.921 0.563 0.159 1
Ho7 Ho 0.341 0.761 0.404 1
Ho8 Ho 0.063 0.904 0.142 1
Ho9 Ho 0.563 0.921 0.659 1
Ho10 Ho 0.739 0.596 0.159 1
Ho11 Ho 0.761 0.421 0.358 1
Ho12 Ho 0.841 0.937 0.079 1
Ho13 Ho 0.142 0.739 0.579 1
Ho14 Ho 0.358 0.437 0.096 1
Ho15 Ho 0.096 0.937 0.358 1
Ho16 Ho 0.404 0.142 0.563 1
Ho17 Ho 0.096 0.159 0.239 1
Ho18 Ho 0.421 0.659 0.063 1
Ho19 Ho 0.841 0.904 0.261 1
Ho20 Ho 0.142 0.404 0.063 1
Ho21 Ho 0.358 0.921 0.761 1
Ho22 Ho 0.563 0.642 0.404 1
Ho23 Ho 0.937 0.841 0.579 1
Ho24 Ho 0.761 0.341 0.904 1
Ho25 Ho 0.437 0.358 0.596 1
Ho26 Ho 0.063 0.159 0.421 1
Ho27 Ho 0.239 0.659 0.096 1
Ho28 Ho 0.159 0.096 0.739 1
Ho29 Ho 0.642 0.079 0.239 1
Ho30 Ho 0.858 0.596 0.937 1
Ho31 Ho 0.579 0.341 0.937 1
Ho32 Ho 0.596 0.858 0.437 1
Ho33 Ho 0.904 0.841 0.761 1
Ho34 Ho 0.904 0.063 0.642 1
Ho35 Ho 0.858 0.261 0.421 1
Ho36 Ho 0.159 0.063 0.921 1
Ho37 Ho 0.642 0.563 0.904 1
Ho38 Ho 0.437 0.079 0.341 1
Ho39 Ho 0.261 0.404 0.841 1
Ho40 Ho 0.239 0.579 0.642 1
Ho41 Ho 0.937 0.096 0.858 1
Ho42 Ho 0.659 0.239 0.596 1
Ho43 Ho 0.421 0.761 0.858 1
Ho44 Ho 0.079 0.437 0.841 1
Ho45 Ho 0.404 0.261 0.341 1
Ho46 Ho 0.079 0.642 0.739 1
Ho47 Ho 0.659 0.421 0.563 1
Ho48 Ho 0.261 0.858 0.921 1


[8]
# PBE HoThGa, relaxed
# Space-group type: P3m1 (156)
# Crystal system: trigonal
# Final energy (eV/atom): -5.14
# DOS(E_F) (states/eV/atom): 0.732
# Formation energy (meV per atom): -134
# Energy above the most stable polymorph in this dataset (eV/atom): 0.143
data_HoThGa
_chemical_formula_sum 'Ho1 Th1 Ga1'
_cell_length_a 4.017
_cell_length_b 4.877
_cell_length_c 4.877
_cell_angle_alpha 120.00
_cell_angle_beta 90.00
_cell_angle_gamma 90.00
_symmetry_space_group_name_H-M 'P 1'
_symmetry_Int_Tables_number 1
loop_
_symmetry_equiv_pos_as_xyz
'x,y,z'
loop_
_atom_site_label
_atom_site_type_symbol
_atom_site_fract_x
_atom_site_fract_y
_atom_site_fract_z
_atom_site_occupancy
Ga1 Ga 0.228 0.333 0.667 1
Ho1 Ho 0.125 0.000 0.000 1
Th1 Th 0.647 0.667 0.333 1


Among the records above, which one has the lowest DOS(E_F)?
number 8